Material: Cd2InBi2Pb2
Method: DFT, PBE
State: optimized geometry

Lattice parameters (Å, degrees): 5.3390 5.0910 10.2111 97.94 90.00 121.62
Fractional coordinates of all 7 atoms:
Cd1 0.6754 0.3508 0.5731
Cd2 0.3246 0.6492 0.4269
In1 0.0000 0.0000 0.5000
Bi1 0.7115 0.4229 0.2294
Bi2 0.2885 0.5771 0.7706
Pb1 0.6515 0.3029 0.8958
Pb2 0.3485 0.6971 0.1042

Output
Energy ... -2.7319 eV per atom
M_tot ... 0.000 μB per formula unit